## Cs2HfCl6O (PBE)

Data for crystalline Cs2HfCl6O at its relaxed geometry.

Total magnetic moment (μB per cell): 4.00
Theoretical density (kg/m3): 3454
Crystal system: tetragonal
V (Å³/cell): 647.2
Uncorrected formation energy (eV/atom): -1.5332

a b c (Å): 7.494 7.494 11.523
angles (deg): 90.00 90.00 90.00
Space group I4/mmm (No. 139)
Unique sites:
Cs  0.000  0.500  0.250
Hf  0.000  0.000  0.000
Cl  0.000  0.000  0.214
Cl  0.232  0.232  0.000
O  0.000  0.000  0.500